[1]
First-principles (GGA+U) data for a relaxed structure of LiZnCo4O8, as listed in the Alexandria database.

Output
E above lowest polymorph ... 0.0408 eV per atom
Calculated density ... 4.78 g/cm3
V ... 10.8 A^3/atom
Total DFT energy (no corrections) ... -76.556 eV/cell

a = 2.904 Å, b = 7.459 Å, c = 7.549 Å
α = 69.47°, β = 89.50°, γ = 81.98°
Sites, in units of the cell vectors:
1 Li 0.000 0.000 0.000
2 Zn 0.709 0.441 0.674
3 Co 0.097 0.841 0.364
4 Co 0.128 0.015 0.657
5 Co 0.405 0.297 0.094
6 Co 0.715 0.655 0.049
7 O 0.157 0.599 0.534
8 O 0.161 0.792 0.896
9 O 0.268 0.513 0.191
10 O 0.576 0.941 0.518
11 O 0.613 0.825 0.184
12 O 0.660 0.162 0.739
13 O 0.820 0.451 0.939
14 O 0.974 0.130 0.187

=====

[2]
First-principles (GGA+U) data for a relaxed structure of V4Ni2O9, as listed in the Alexandria database.

Output
Calculated density ... 4.97 g/cm3
V ... 10.4 A^3/atom
Total DFT energy (no corrections) ... -211.936 eV/cell

a = 5.490 Å, b = 5.490 Å, c = 12.597 Å
α = 93.65°, β = 93.65°, γ = 55.22°
Sites, in units of the cell vectors:
1 V 0.001 0.999 0.500
2 V 0.266 0.272 0.428
3 V 0.272 0.266 0.928
4 V 0.333 0.335 0.162
5 V 0.335 0.333 0.662
6 V 0.662 0.669 0.324
7 V 0.669 0.662 0.824
8 V 0.999 0.001 0.000
9 Ni 0.601 0.610 0.592
10 Ni 0.610 0.601 0.092
11 Ni 0.933 0.937 0.764
12 Ni 0.937 0.933 0.264
13 O 0.039 0.326 0.563
14 O 0.100 0.488 0.794
15 O 0.141 0.782 0.620
16 O 0.248 0.919 0.865
17 O 0.254 0.579 0.028
18 O 0.326 0.039 0.063
19 O 0.388 0.652 0.240
20 O 0.428 0.833 0.454
21 O 0.488 0.100 0.294
22 O 0.579 0.254 0.528
23 O 0.584 0.913 0.699
24 O 0.652 0.388 0.740
25 O 0.711 0.986 0.903
26 O 0.782 0.141 0.120
27 O 0.833 0.428 0.954
28 O 0.913 0.584 0.199
29 O 0.919 0.248 0.365
30 O 0.986 0.711 0.403

=====

Q: Among the records above, which one has the highest V?
A: LiZnCo4O8

=====

Q: What is the V in the second record?
A: 10.4 A^3/atom

=====

Q: Among the records above, which one has the lowest total DFT energy (no corrections)?
A: V4Ni2O9